Computed, not measured: an optimized crystal structure of KOs2Br at the PBEsol level of DFT.

Results
The energy above the most stable polymorph in this dataset comes out at 1141.3 meV per atom. Its space group is No. 123. The calculation puts the uncorrected formation energy at 1725 meV/atom.

```
data_KOs2Br
_chemical_formula_sum 'K1 Os2 Br1'
_symmetry_space_group_name_H-M 'P 1'
_symmetry_Int_Tables_number 1
_cell_length_a 2.8021
_cell_length_b 2.8021
_cell_length_c 9.4075
_cell_angle_alpha 90.00
_cell_angle_beta 90.00
_cell_angle_gamma 90.00
loop_
_symmetry_equiv_pos_as_xyz
'x,y,z'
loop_
_atom_site_label
_atom_site_type_symbol
_atom_site_fract_x
_atom_site_fract_y
_atom_site_fract_z
K1 K 0.0000 0.0000 0.0000
Os1 Os 0.5000 0.5000 0.2944
Os2 Os 0.5000 0.5000 0.7056
Br1 Br 0.0000 0.0000 0.5000
```